(1)
An optimized crystal structure of BaFe2Re. Source: Alexandria via LeMat-Bulk, functional PBE.

The structure belongs to space group R-3m (No. 166, hexagonal axes); the cell edges are 4.1840, 4.1840 and 17.7019 Å and the angles 90.00°, 90.00° and 120.00°. The distinct sites, in fractional coordinates, are Ba at (0.0000, 0.0000, 0.0000), Fe at (0.0000, 0.0000, 0.1883) and Re at (0.0000, 0.0000, 0.5000).

The density of states at the Fermi level comes out at 15.0 states/eV/cell. The total energy comes out at -7.3526 eV per atom.



(2)
An optimized crystal structure of La2SmTh6. Source: Alexandria via LeMat-Bulk, functional PBE.

The structure belongs to space group P-6m2 (No. 187); the cell edges are 3.5629, 3.5629 and 27.4172 Å and the angles 90.00°, 90.00° and 120.00°. The distinct sites, in fractional coordinates, are La at (0.0000, 0.0000, 0.1715), Sm at (0.3333, 0.6667, 0.5000), Th at (0.0000, 0.0000, 0.3906), Th at (0.3333, 0.6667, 0.0600) and Th at (0.3333, 0.6667, 0.2843).

The density of states at the Fermi level comes out at 15.4 states/eV/cell. The total energy comes out at -6.4608 eV per atom.



(3)
An optimized crystal structure of Na3U4Se8. Source: Alexandria via LeMat-Bulk, functional PBE.

The structure belongs to space group C2/m (No. 12); the cell edges are 11.616, 11.744 and 8.216 Å and the angles 90.00°, 134.25° and 90.00°. The distinct sites, in fractional coordinates, are Na at (0.000, 0.000, 0.000), Na at (0.250, 0.250, 0.000), U at (0.000, 0.500, 0.000), U at (0.000, 0.500, 0.500), U at (0.250, 0.250, 0.500), Se at (0.000, 0.254, 0.000), Se at (0.000, 0.255, 0.500), Se at (0.230, 0.500, 0.977) and Se at (0.247, 0.500, 0.492).

The density of states at the Fermi level comes out at 43.1 states/eV/cell. The value obtained for the uncorrected formation energy is -1136 meV per atom. The total energy comes out at -6.2686 eV per atom.



(4)
An optimized crystal structure of AcNdTm2Sb4. Source: Alexandria via LeMat-Bulk, functional PBE.

The structure belongs to space group P2/m (No. 10); the cell edges are 7.783, 4.510 and 7.812 Å and the angles 90.00°, 109.51° and 90.00°. The distinct sites, in fractional coordinates, are Ac at (0.000, 0.000, 0.000), Nd at (0.000, 0.500, 0.500), Tm at (0.500, 0.000, 0.500), Tm at (0.500, 0.500, 0.000), Sb at (0.267, 0.000, 0.749) and Sb at (0.272, 0.500, 0.264).

The density of states at the Fermi level comes out at 1.1 states/eV/cell. The value obtained for the uncorrected formation energy is -1110 meV per atom. The total energy comes out at -5.3986 eV per atom.



(5)
An optimized crystal structure of BaLa2P2. Source: Alexandria via LeMat-Bulk, functional PBE.

The structure belongs to space group I4/mmm (No. 139); the cell edges are 5.481, 5.481 and 11.951 Å and the angles 90.00°, 90.00° and 90.00°. The distinct sites, in fractional coordinates, are Ba at (0.000, 0.000, 0.000), La at (0.000, 0.000, 0.322) and P at (0.000, 0.500, 0.250).

The density of states at the Fermi level comes out at 5.4 states/eV/cell. The total energy comes out at -5.4848 eV per atom.



(6)
An optimized crystal structure of HoBeAlCu. Source: Alexandria via LeMat-Bulk, functional PBE.

The structure belongs to space group F-43m (No. 216); the cell edges are 6.329, 6.329 and 6.329 Å and the angles 90.00°, 90.00° and 90.00°. The distinct sites, in fractional coordinates, are Ho at (0.000, 0.000, 0.000), Be at (0.250, 0.250, 0.250), Al at (0.000, 0.000, 0.500) and Cu at (0.250, 0.250, 0.750).

The density of states at the Fermi level comes out at 6.4 states/eV/cell. The total energy comes out at -4.2531 eV per atom.



(7)
An optimized crystal structure of LiYP2S. Source: Alexandria via LeMat-Bulk, functional PBE.

The structure belongs to space group P4/mmm (No. 123); the cell edges are 4.243, 4.243 and 5.002 Å and the angles 90.00°, 90.00° and 90.00°. The distinct sites, in fractional coordinates, are Li at (0.000, 0.000, 0.000), Y at (0.500, 0.500, 0.500), P at (0.000, 0.500, 0.000) and S at (0.000, 0.000, 0.500).

The density of states at the Fermi level comes out at 2.6 states/eV/cell. The value obtained for the uncorrected formation energy is -259 meV per atom. The total energy comes out at -4.9239 eV per atom.



(8)
An optimized crystal structure of LaSbIN2. Source: Alexandria via LeMat-Bulk, functional PBE.

The structure belongs to space group P4/mmm (No. 123); the cell edges are 4.487, 4.487 and 6.181 Å and the angles 90.00°, 90.00° and 90.00°. The distinct sites, in fractional coordinates, are La at (0.000, 0.000, 0.000), Sb at (0.500, 0.500, 0.000), I at (0.000, 0.000, 0.500) and N at (0.000, 0.500, 0.500).

The density of states at the Fermi level comes out at 3.8 states/eV/cell. The value obtained for the uncorrected formation energy is 1313 meV per atom. The total energy comes out at -4.1372 eV per atom.